Arrangement A

# GGA-PBE Hg3Mo, relaxed
# Magnetization = 0.000 μB per formula unit
data_Hg3Mo
_symmetry_space_group_name_H-M 'P -6 m 2'
_symmetry_Int_Tables_number 187
_symmetry_space_group_name_Hall 'P -6 2'
_cell_length_a 3.0708
_cell_length_b 3.0708
_cell_length_c 10.1057
_cell_angle_alpha 90.00
_cell_angle_beta 90.00
_cell_angle_gamma 120.00
loop_
_atom_site_label
_atom_site_type_symbol
_atom_site_fract_x
_atom_site_fract_y
_atom_site_fract_z
Hg1 Hg 0.0000 0.0000 0.0000
Hg2 Hg 0.6667 0.3333 0.2686
Mo1 Mo 0.0000 0.0000 0.5000



Arrangement B

# GGA-PBE Hg3Mo, relaxed
# Magnetization = 0.002 μB per formula unit
data_Hg3Mo
_symmetry_space_group_name_H-M 'R -3 m'
_symmetry_Int_Tables_number 166
_symmetry_space_group_name_Hall '-R 3 2"'
_cell_length_a 9.8391
_cell_length_b 9.8391
_cell_length_c 2.9018
_cell_angle_alpha 90.00
_cell_angle_beta 90.00
_cell_angle_gamma 120.00
loop_
_atom_site_label
_atom_site_type_symbol
_atom_site_fract_x
_atom_site_fract_y
_atom_site_fract_z
Hg1 Hg 0.0000 0.5000 0.0000
Mo1 Mo 0.0000 0.0000 0.0000



Of all the structures shown, which is most stable? arrangement A, and arrangement B is the least stable.